# Li2Ho2GaPd5 | Alexandria via LeMat-Bulk | PBE | relaxed
data_Li2Ho2GaPd5
_cell_length_a 9.582
_cell_length_b 9.582
_cell_length_c 3.579
_cell_angle_alpha 90.00
_cell_angle_beta 90.00
_cell_angle_gamma 90.00
_symmetry_space_group_name_H-M 'P 4/m b m'
_symmetry_Int_Tables_number 127
_symmetry_space_group_name_Hall '-P 4 2ab'
loop_
_atom_site_label
_atom_site_type_symbol
_atom_site_fract_x
_atom_site_fract_y
_atom_site_fract_z
Li1 Li 0.122 0.378 0.000
Ho1 Ho 0.177 0.677 0.000
Ga1 Ga 0.000 0.000 0.000
Pd1 Pd 0.000 0.500 0.500
Pd2 Pd 0.066 0.203 0.500
# VASP energy in eV per cell: -97.90



# LiPrHoGa | Alexandria via LeMat-Bulk | PBE | relaxed
data_LiPrHoGa
_cell_length_a 7.341
_cell_length_b 7.341
_cell_length_c 7.341
_cell_angle_alpha 90.00
_cell_angle_beta 90.00
_cell_angle_gamma 90.00
_symmetry_space_group_name_H-M 'F -4 3 m'
_symmetry_Int_Tables_number 216
_symmetry_space_group_name_Hall 'F -4 2 3'
loop_
_atom_site_label
_atom_site_type_symbol
_atom_site_fract_x
_atom_site_fract_y
_atom_site_fract_z
Li1 Li 0.000 0.000 0.000
Pr1 Pr 0.250 0.250 0.750
Ho1 Ho 0.250 0.250 0.250
Ga1 Ga 0.000 0.000 0.500
# VASP energy in eV per cell: -61.90



# Li2PrHo2Ga2 | Alexandria via LeMat-Bulk | PBE | relaxed
data_Li2PrHo2Ga2
_cell_length_a 4.6664
_cell_length_b 4.6664
_cell_length_c 26.3414
_cell_angle_alpha 90.00
_cell_angle_beta 90.00
_cell_angle_gamma 120.00
_symmetry_space_group_name_H-M 'R -3 m'
_symmetry_Int_Tables_number 166
_symmetry_space_group_name_Hall '-R 3 2"'
loop_
_atom_site_label
_atom_site_type_symbol
_atom_site_fract_x
_atom_site_fract_y
_atom_site_fract_z
Li1 Li 0.0000 0.0000 0.0941
Pr1 Pr 0.0000 0.0000 0.5000
Ho1 Ho 0.0000 0.0000 0.3718
Ga1 Ga 0.0000 0.0000 0.2436
# VASP energy in eV per cell: -77.39



# Li2Pr2HoGa2 | Alexandria via LeMat-Bulk | PBE | relaxed
data_Li2Pr2HoGa2
_cell_length_a 4.6331
_cell_length_b 4.6331
_cell_length_c 27.1413
_cell_angle_alpha 90.00
_cell_angle_beta 90.00
_cell_angle_gamma 120.00
_symmetry_space_group_name_H-M 'R -3 m'
_symmetry_Int_Tables_number 166
_symmetry_space_group_name_Hall '-R 3 2"'
loop_
_atom_site_label
_atom_site_type_symbol
_atom_site_fract_x
_atom_site_fract_y
_atom_site_fract_z
Li1 Li 0.0000 0.0000 0.1125
Pr1 Pr 0.0000 0.0000 0.3751
Ho1 Ho 0.0000 0.0000 0.5000
Ga1 Ga 0.0000 0.0000 0.2314
# VASP energy in eV per cell: -78.05



# LiHo2Ga3Pt4 | Alexandria via LeMat-Bulk | PBE | relaxed
data_LiHo2Ga3Pt4
_cell_length_a 3.992
_cell_length_b 3.992
_cell_length_c 11.543
_cell_angle_alpha 90.00
_cell_angle_beta 90.00
_cell_angle_gamma 90.00
_symmetry_space_group_name_H-M 'P -4 m 2'
_symmetry_Int_Tables_number 115
_symmetry_space_group_name_Hall 'P -4 -2'
loop_
_atom_site_label
_atom_site_type_symbol
_atom_site_fract_x
_atom_site_fract_y
_atom_site_fract_z
Li1 Li 0.000 0.000 0.000
Ho1 Ho 0.000 0.500 0.755
Ga1 Ga 0.000 0.500 0.366
Ga2 Ga 0.500 0.500 0.000
Pt1 Pt 0.000 0.000 0.500
Pt2 Pt 0.000 0.500 0.150
Pt3 Pt 0.500 0.500 0.500
# VASP energy in eV per cell: -53.63



# LiHoGa2Pt2 | Alexandria via LeMat-Bulk | PBE | relaxed
data_LiHoGa2Pt2
_cell_length_a 4.3748
_cell_length_b 4.3748
_cell_length_c 6.4000
_cell_angle_alpha 90.00
_cell_angle_beta 90.00
_cell_angle_gamma 120.00
_symmetry_space_group_name_H-M 'P -3 m 1'
_symmetry_Int_Tables_number 164
_symmetry_space_group_name_Hall '-P 3 2"'
loop_
_atom_site_label
_atom_site_type_symbol
_atom_site_fract_x
_atom_site_fract_y
_atom_site_fract_z
Li1 Li 0.0000 0.0000 0.0000
Ho1 Ho 0.0000 0.0000 0.5000
Ga1 Ga 0.3333 0.6667 0.8121
Pt1 Pt 0.3333 0.6667 0.2272
# VASP energy in eV per cell: -30.15



# LiHoGaPt | Alexandria via LeMat-Bulk | PBE | relaxed
data_LiHoGaPt
_cell_length_a 6.569
_cell_length_b 6.569
_cell_length_c 6.569
_cell_angle_alpha 90.00
_cell_angle_beta 90.00
_cell_angle_gamma 90.00
_symmetry_space_group_name_H-M 'F -4 3 m'
_symmetry_Int_Tables_number 216
_symmetry_space_group_name_Hall 'F -4 2 3'
loop_
_atom_site_label
_atom_site_type_symbol
_atom_site_fract_x
_atom_site_fract_y
_atom_site_fract_z
Li1 Li 0.000 0.000 0.000
Ho1 Ho 0.250 0.250 0.250
Ga1 Ga 0.250 0.250 0.750
Pt1 Pt 0.000 0.000 0.500
# VASP energy in eV per cell: -74.81



# LiHo2Ga4Pt3 | Alexandria via LeMat-Bulk | PBE | relaxed
data_LiHo2Ga4Pt3
_cell_length_a 4.081
_cell_length_b 4.081
_cell_length_c 11.122
_cell_angle_alpha 90.00
_cell_angle_beta 90.00
_cell_angle_gamma 90.00
_symmetry_space_group_name_H-M 'P -4 m 2'
_symmetry_Int_Tables_number 115
_symmetry_space_group_name_Hall 'P -4 -2'
loop_
_atom_site_label
_atom_site_type_symbol
_atom_site_fract_x
_atom_site_fract_y
_atom_site_fract_z
Li1 Li 0.000 0.000 0.000
Ho1 Ho 0.000 0.500 0.744
Ga1 Ga 0.000 0.000 0.500
Ga2 Ga 0.000 0.500 0.133
Ga3 Ga 0.500 0.500 0.500
Pt1 Pt 0.000 0.500 0.357
Pt2 Pt 0.500 0.500 0.000
# VASP energy in eV per cell: -49.91



Computed DOS at the Fermi energy, in the same sequence as the records: 0.224, 0.956, 0.751, 0.848, 0.353, 0.582, 1.060, 0.283 states/eV/atom.
Computed total magnetic moment, in the same sequence as the records: 0.00, 0.00, 0.00, 0.00, 0.00, 0.00, 0.00, 0.00 μB/f.u..